An optimized crystal structure of La6Ir2NCl3. Source: Alexandria, functional PBE-GGA.

Calculated values
formation energy without anion corrections = -16.38 eV/f.u.
energy = -6.461 eV/atom
DOS at the Fermi energy = 2.90 states/eV per cell

Unit cell a=7.0306 b=7.0306 c=7.9322 alpha=98.50 beta=98.50 gamma=119.96
Fractional coordinates of all 12 atoms:
La 0.0662 0.3798 0.1978
La 0.2474 0.2474 0.8031
La 0.3798 0.0662 0.1978
La 0.6202 0.9338 0.8022
La 0.7526 0.7526 0.1969
La 0.9338 0.6202 0.8022
Ir 0.3331 0.6669 0.0000
Ir 0.6669 0.3331 0.0000
N 0.0000 0.0000 0.0000
Cl 0.1661 0.8339 0.5000
Cl 0.5000 0.5000 0.5000
Cl 0.8339 0.1661 0.5000